Record 1
Below is a relaxed structure of GdCo2Os6, with properties calculated at the PBE-GGA level.

```
data_GdCo2Os6
_cell_length_a 3.7948
_cell_length_b 3.8109
_cell_length_c 11.9878
_cell_angle_alpha 90.00
_cell_angle_beta 90.00
_cell_angle_gamma 90.00
_symmetry_space_group_name_H-M 'P m m m'
_symmetry_Int_Tables_number 47
loop_
_symmetry_equiv_pos_as_xyz
'x,y,z'
'-x,-y,-z'
'-x,-y,z'
'x,y,-z'
'x,-y,-z'
'-x,y,z'
'-x,y,-z'
'x,-y,z'
loop_
_atom_site_label
_atom_site_type_symbol
_atom_site_fract_x
_atom_site_fract_y
_atom_site_fract_z
Gd1 Gd 0.0000 0.0000 0.0000
Co1 Co 0.5000 0.5000 0.3149
Os1 Os 0.0000 0.5000 0.1917
Os2 Os 0.5000 0.0000 0.1921
Os3 Os 0.5000 0.5000 0.0000
Os4 Os 0.5000 0.5000 0.5000
```

Values from the calculation:
DFT formation energy ... 1.3586 eV per atom
Crystal system ... orthorhombic

Record 2
Below is a relaxed structure of Gd2Co4P3, with properties calculated at the PBE-GGA level.

```
data_Gd2Co4P3
_cell_length_a 12.4998
_cell_length_b 12.4998
_cell_length_c 3.7714
_cell_angle_alpha 90.00
_cell_angle_beta 90.00
_cell_angle_gamma 120.00
_symmetry_space_group_name_H-M 'P -6 2 m'
_symmetry_Int_Tables_number 189
_symmetry_space_group_name_Hall 'P -6 -2'
loop_
_atom_site_label
_atom_site_type_symbol
_atom_site_fract_x
_atom_site_fract_y
_atom_site_fract_z
Gd1 Gd 0.0000 0.1804 0.0000
Gd2 Gd 0.0000 0.5582 0.5000
Gd3 Gd 0.3333 0.6667 0.5000
Co1 Co 0.0000 0.0000 0.5000
Co2 Co 0.0000 0.7263 0.0000
Co3 Co 0.1210 0.4719 0.0000
Co4 Co 0.1792 0.8087 0.5000
P1 P 0.0000 0.3468 0.5000
P2 P 0.0000 0.8211 0.5000
P3 P 0.1759 0.7028 0.0000
```

Values from the calculation:
E_tot ... -249.70 eV/cell
Crystal system ... hexagonal

Record 3
Below is a relaxed structure of GdCoP2Pd, with properties calculated at the PBE-GGA level.

```
data_GdCoP2Pd
_cell_length_a 3.9792
_cell_length_b 3.9792
_cell_length_c 9.7146
_cell_angle_alpha 90.00
_cell_angle_beta 90.00
_cell_angle_gamma 90.00
_symmetry_space_group_name_H-M 'I -4 m 2'
_symmetry_Int_Tables_number 119
_symmetry_space_group_name_Hall 'I -4 -2'
loop_
_atom_site_label
_atom_site_type_symbol
_atom_site_fract_x
_atom_site_fract_y
_atom_site_fract_z
Gd1 Gd 0.0000 0.0000 0.0000
Co1 Co 0.0000 0.5000 0.2500
P1 P 0.0000 0.0000 0.3836
Pd1 Pd 0.0000 0.5000 0.7500
```

Values from the calculation:
E_tot ... -64.40 eV/cell
Crystal system ... tetragonal

Record 4
Below is a relaxed structure of GdCoPb, with properties calculated at the PBE-GGA level.

```
data_GdCoPb
_cell_length_a 6.7840
_cell_length_b 6.7840
_cell_length_c 6.7840
_cell_angle_alpha 90.00
_cell_angle_beta 90.00
_cell_angle_gamma 90.00
_symmetry_space_group_name_H-M 'F -4 3 m'
_symmetry_Int_Tables_number 216
_symmetry_space_group_name_Hall 'F -4 2 3'
loop_
_atom_site_label
_atom_site_type_symbol
_atom_site_fract_x
_atom_site_fract_y
_atom_site_fract_z
Gd1 Gd 0.0000 0.0000 0.0000
Co1 Co 0.2500 0.2500 0.7500
Pb1 Pb 0.2500 0.2500 0.2500
```

Values from the calculation:
E_tot ... -54.69 eV/cell
Crystal system ... cubic

Record 5
Below is a relaxed structure of GdCoPb, with properties calculated at the PBE-GGA level.

```
data_GdCoPb
_cell_length_a 6.5361
_cell_length_b 6.5361
_cell_length_c 6.5361
_cell_angle_alpha 90.00
_cell_angle_beta 90.00
_cell_angle_gamma 90.00
_symmetry_space_group_name_H-M 'F -4 3 m'
_symmetry_Int_Tables_number 216
_symmetry_space_group_name_Hall 'F -4 2 3'
loop_
_atom_site_label
_atom_site_type_symbol
_atom_site_fract_x
_atom_site_fract_y
_atom_site_fract_z
Gd1 Gd 0.0000 0.0000 0.0000
Co1 Co 0.2500 0.2500 0.2500
Pb1 Pb 0.0000 0.0000 0.5000
```

Values from the calculation:
E_tot ... -63.38 eV/cell
Crystal system ... cubic

Record 6
Below is a relaxed structure of SmGdCo2Pb, with properties calculated at the PBE-GGA level.

```
data_SmGdCo2Pb
_cell_length_a 3.8868
_cell_length_b 3.8740
_cell_length_c 14.2515
_cell_angle_alpha 90.00
_cell_angle_beta 90.00
_cell_angle_gamma 90.00
_symmetry_space_group_name_H-M 'A m m 2'
_symmetry_Int_Tables_number 38
loop_
_symmetry_equiv_pos_as_xyz
'x,y,z'
'-x,-y,z'
'-x,y,z'
'x,-y,z'
'x,y+1/2,z+1/2'
'-x,-y+1/2,z+1/2'
'-x,y+1/2,z+1/2'
'x,-y+1/2,z+1/2'
loop_
_atom_site_label
_atom_site_type_symbol
_atom_site_fract_x
_atom_site_fract_y
_atom_site_fract_z
Sm1 Sm 0.0000 0.0000 0.0000
Gd1 Gd 0.0000 0.0000 0.2787
Co1 Co 0.5000 0.0000 0.4291
Co2 Co 0.5000 0.0000 0.8462
Pb1 Pb 0.5000 0.0000 0.6406
```

Values from the calculation:
E_tot ... -57.64 eV/cell
Crystal system ... orthorhombic